Record 1
TiGaS2Cl at its PBEsol-relaxed geometry. Source: Alexandria, functional SCAN.

Raw total energy, eV per atom: -12.1959
ΔE_f (raw), eV/atom: -0.2739
Crystal system: tetragonal

Geometry as POSCAR:
```
TiGaS2Cl
1.0
4.684 0.000 0.000
0.000 4.684 0.000
0.000 0.000 4.532
Ti Ga S Cl
1 1 2 1
direct
0.000 0.000 0.000
0.500 0.500 0.500
0.000 0.500 0.500
0.500 0.000 0.500
0.500 0.500 0.000
```

Record 2
GaWS2Cl at its PBEsol-relaxed geometry. Source: Alexandria, functional SCAN.

Raw total energy, eV per atom: -22.7899
ΔE_f (raw), eV/atom: -0.1362
Crystal system: tetragonal

Geometry as POSCAR:
```
GaWS2Cl
1.0
4.610 0.000 0.000
0.000 4.610 0.000
0.000 0.000 4.982
Ga W S Cl
1 1 2 1
direct
0.000 0.000 0.000
0.500 0.500 0.500
0.000 0.500 0.500
0.500 0.000 0.500
0.500 0.500 0.000
```

Record 3
GaSb3Cl at its PBEsol-relaxed geometry. Source: Alexandria, functional SCAN.

Raw total energy, eV per atom: -26.3250
ΔE_f (raw), eV/atom: 0.8963
Crystal system: cubic

Geometry as POSCAR:
```
GaSb3Cl
1.0
5.297 0.000 0.000
0.000 5.297 0.000
0.000 0.000 5.297
Ga Sb Cl
1 3 1
direct
0.000 0.000 0.000
0.000 0.500 0.500
0.500 0.000 0.500
0.500 0.500 0.000
0.500 0.500 0.500
```